# MnTl3W (PBE, optimized geometry)
data_MnTl3W
_symmetry_space_group_name_H-M 'P m -3 m'
_symmetry_Int_Tables_number 221
_symmetry_space_group_name_Hall '-P 4 2 3'
_cell_length_a 5.3907
_cell_length_b 5.3907
_cell_length_c 5.3907
_cell_angle_alpha 90.00
_cell_angle_beta 90.00
_cell_angle_gamma 90.00
loop_
_atom_site_label
_atom_site_fract_x
_atom_site_fract_y
_atom_site_fract_z
Mn1 0.0000 0.0000 0.0000
Tl1 0.0000 0.5000 0.5000
W1 0.5000 0.5000 0.5000
# Energy ... -4.639 eV per atom
# Energy of formation from the pure elements ... 116 kJ/mol of atoms
# Offset from the most stable computed form ... 0.0 meV/atom

---

# La5YPb6 (PBE, optimized geometry)
data_La5YPb6
_symmetry_space_group_name_H-M 'C m m m'
_symmetry_Int_Tables_number 65
_symmetry_space_group_name_Hall '-C 2 2'
_cell_length_a 5.1521
_cell_length_b 15.5694
_cell_length_c 9.2770
_cell_angle_alpha 90.00
_cell_angle_beta 90.00
_cell_angle_gamma 90.00
loop_
_atom_site_label
_atom_site_fract_x
_atom_site_fract_y
_atom_site_fract_z
La1 0.0000 0.0000 0.0000
La2 0.0000 0.3323 0.0000
La3 0.0000 0.3347 0.5000
Y1 0.0000 0.0000 0.5000
Pb1 0.0000 0.1637 0.2535
Pb2 0.0000 0.5000 0.2530
# Energy ... -5.010 eV per atom
# Energy of formation from the pure elements ... -54 kJ/mol of atoms

---

# PuScFeOs (PBE, optimized geometry)
data_PuScFeOs
_symmetry_space_group_name_H-M 'F -4 3 m'
_symmetry_Int_Tables_number 216
_symmetry_space_group_name_Hall 'F -4 2 3'
_cell_length_a 6.5576
_cell_length_b 6.5576
_cell_length_c 6.5576
_cell_angle_alpha 90.00
_cell_angle_beta 90.00
_cell_angle_gamma 90.00
loop_
_atom_site_label
_atom_site_fract_x
_atom_site_fract_y
_atom_site_fract_z
Pu1 0.0000 0.0000 0.0000
Sc1 0.0000 0.0000 0.5000
Fe1 0.2500 0.2500 0.2500
Os1 0.2500 0.2500 0.7500
# Energy ... -10.251 eV per atom
# Energy of formation from the pure elements ... -16 kJ/mol of atoms

---

# ZnCoSCl2 (PBE, optimized geometry)
data_ZnCoSCl2
_symmetry_space_group_name_H-M 'P 4/m m m'
_symmetry_Int_Tables_number 123
_symmetry_space_group_name_Hall '-P 4 2'
_cell_length_a 4.6574
_cell_length_b 4.6574
_cell_length_c 4.4465
_cell_angle_alpha 90.00
_cell_angle_beta 90.00
_cell_angle_gamma 90.00
loop_
_atom_site_label
_atom_site_fract_x
_atom_site_fract_y
_atom_site_fract_z
Zn1 0.0000 0.0000 0.0000
Co1 0.5000 0.5000 0.5000
S1 0.5000 0.5000 0.0000
Cl1 0.0000 0.5000 0.5000
# Energy ... -3.229 eV per atom
# E_form (uncorrected) ... 0.058 eV per formula unit
# Offset from the most stable computed form ... 0.0 meV/atom

---

# BaBeW2 (PBE, optimized geometry)
data_BaBeW2
_symmetry_space_group_name_H-M 'R 3 m'
_symmetry_Int_Tables_number 160
_symmetry_space_group_name_Hall 'R 3 -2"'
_cell_length_a 3.2169
_cell_length_b 3.2169
_cell_length_c 27.2957
_cell_angle_alpha 90.00
_cell_angle_beta 90.00
_cell_angle_gamma 120.00
loop_
_atom_site_label
_atom_site_fract_x
_atom_site_fract_y
_atom_site_fract_z
Ba1 0.0000 0.0000 0.0000
Be1 0.0000 0.0000 0.2400
W1 0.0000 0.0000 0.5144
W2 0.0000 0.0000 0.7813
# Energy ... -6.877 eV per atom
# Energy of formation from the pure elements ... 98 kJ/mol of atoms

---

# SrMgTcGe2 (PBE, optimized geometry)
data_SrMgTcGe2
_symmetry_space_group_name_H-M 'P 4/m m m'
_symmetry_Int_Tables_number 123
_symmetry_space_group_name_Hall '-P 4 2'
_cell_length_a 4.8607
_cell_length_b 4.8607
_cell_length_c 4.9914
_cell_angle_alpha 90.00
_cell_angle_beta 90.00
_cell_angle_gamma 90.00
loop_
_atom_site_label
_atom_site_fract_x
_atom_site_fract_y
_atom_site_fract_z
Sr1 0.0000 0.0000 0.0000
Mg1 0.5000 0.5000 0.0000
Tc1 0.5000 0.5000 0.5000
Ge1 0.0000 0.5000 0.5000
# Energy ... -4.760 eV per atom
# Energy of formation from the pure elements ... -18 kJ/mol of atoms

---

# NdTmCd (PBE, optimized geometry)
data_NdTmCd
_symmetry_space_group_name_H-M 'F m m m'
_symmetry_Int_Tables_number 69
_symmetry_space_group_name_Hall '-F 2 2'
_cell_length_a 5.8095
_cell_length_b 10.0698
_cell_length_c 12.0930
_cell_angle_alpha 90.00
_cell_angle_beta 90.00
_cell_angle_gamma 90.00
loop_
_atom_site_label
_atom_site_fract_x
_atom_site_fract_y
_atom_site_fract_z
Nd1 0.0000 0.1671 0.0000
Tm1 0.0000 0.0000 0.3633
Cd1 0.2500 0.2500 0.2500
# Energy ... -3.505 eV per atom
# Energy of formation from the pure elements ... -12 kJ/mol of atoms
# Offset from the most stable computed form ... 70.4 meV/atom

---

# NaLiB2O4 (PBE, optimized geometry)
data_NaLiB2O4
_symmetry_space_group_name_H-M 'I 2 2 2'
_symmetry_Int_Tables_number 23
_cell_length_a 5.0840
_cell_length_b 6.3385
_cell_length_c 6.5374
_cell_angle_alpha 90.00
_cell_angle_beta 90.00
_cell_angle_gamma 90.00
loop_
_symmetry_equiv_pos_as_xyz
'x,y,z'
'-x,-y,z'
'x,-y,-z'
'-x,y,-z'
'x+1/2,y+1/2,z+1/2'
'-x+1/2,-y+1/2,z+1/2'
'x+1/2,-y+1/2,-z+1/2'
'-x+1/2,y+1/2,-z+1/2'
loop_
_atom_site_label
_atom_site_fract_x
_atom_site_fract_y
_atom_site_fract_z
Na1 0.0000 0.0000 0.0000
Li1 0.0000 0.5000 0.0000
B1 0.0000 0.2206 0.5000
O1 0.2224 0.2201 0.4122
# Energy ... -6.651 eV per atom
# E_form (uncorrected) ... -16.784 eV per formula unit

---

# Ac3MgFe (PBE, optimized geometry)
data_Ac3MgFe
_symmetry_space_group_name_H-M 'P m -3 m'
_symmetry_Int_Tables_number 221
_symmetry_space_group_name_Hall '-P 4 2 3'
_cell_length_a 5.5776
_cell_length_b 5.5776
_cell_length_c 5.5776
_cell_angle_alpha 90.00
_cell_angle_beta 90.00
_cell_angle_gamma 90.00
loop_
_atom_site_label
_atom_site_fract_x
_atom_site_fract_y
_atom_site_fract_z
Ac1 0.0000 0.0000 0.5000
Mg1 0.5000 0.5000 0.5000
Fe1 0.0000 0.0000 0.0000
# Energy ... -4.387 eV per atom
# Energy of formation from the pure elements ... 9 kJ/mol of atoms

---

# BaEuAg (PBE, optimized geometry)
data_BaEuAg
_symmetry_space_group_name_H-M 'F -4 3 m'
_symmetry_Int_Tables_number 216
_symmetry_space_group_name_Hall 'F -4 2 3'
_cell_length_a 7.9227
_cell_length_b 7.9227
_cell_length_c 7.9227
_cell_angle_alpha 90.00
_cell_angle_beta 90.00
_cell_angle_gamma 90.00
loop_
_atom_site_label
_atom_site_fract_x
_atom_site_fract_y
_atom_site_fract_z
Ba1 0.0000 0.0000 0.0000
Eu1 0.0000 0.0000 0.5000
Ag1 0.2500 0.2500 0.7500
# Energy ... -5.098 eV per atom
# Energy of formation from the pure elements ... -8 kJ/mol of atoms
# Offset from the most stable computed form ... 82.0 meV/atom

---

# LaAl2Ir2 (PBE, optimized geometry)
data_LaAl2Ir2
_symmetry_space_group_name_H-M 'P 4/m b m'
_symmetry_Int_Tables_number 127
_symmetry_space_group_name_Hall '-P 4 2ab'
_cell_length_a 7.7622
_cell_length_b 7.7622
_cell_length_c 2.8832
_cell_angle_alpha 90.00
_cell_angle_beta 90.00
_cell_angle_gamma 90.00
loop_
_atom_site_label
_atom_site_fract_x
_atom_site_fract_y
_atom_site_fract_z
La1 0.0000 0.0000 0.0000
Al1 0.1203 0.3797 0.0000
Ir1 0.1716 0.6716 0.5000
# Energy ... -6.718 eV per atom
# Energy of formation from the pure elements ... -67 kJ/mol of atoms
# Offset from the most stable computed form ... 172.6 meV/atom

---

# Ce2CuBi (PBE, optimized geometry)
data_Ce2CuBi
_symmetry_space_group_name_H-M 'P 4/m m m'
_symmetry_Int_Tables_number 123
_symmetry_space_group_name_Hall '-P 4 2'
_cell_length_a 5.0542
_cell_length_b 5.0542
_cell_length_c 4.1903
_cell_angle_alpha 90.00
_cell_angle_beta 90.00
_cell_angle_gamma 90.00
loop_
_atom_site_label
_atom_site_fract_x
_atom_site_fract_y
_atom_site_fract_z
Ce1 0.0000 0.5000 0.0000
Cu1 0.0000 0.0000 0.5000
Bi1 0.5000 0.5000 0.5000
# Energy ... -5.235 eV per atom
# Energy of formation from the pure elements ... -26 kJ/mol of atoms
# Offset from the most stable computed form ... 0.0 meV/atom

---

# Tl8Sb2Se (PBE, optimized geometry)
data_Tl8Sb2Se
_symmetry_space_group_name_H-M 'C 1 2/m 1'
_symmetry_Int_Tables_number 12
_cell_length_a 20.8965
_cell_length_b 4.5866
_cell_length_c 7.7015
_cell_angle_alpha 90.00
_cell_angle_beta 90.75
_cell_angle_gamma 90.00
loop_
_symmetry_equiv_pos_as_xyz
'x,y,z'
'-x,-y,-z'
'-x,y,-z'
'x,-y,z'
'x+1/2,y+1/2,z'
'-x+1/2,-y+1/2,-z'
'-x+1/2,y+1/2,-z'
'x+1/2,-y+1/2,z'
loop_
_atom_site_label
_atom_site_fract_x
_atom_site_fract_y
_atom_site_fract_z
Tl1 0.0052 0.0000 0.2646
Tl2 0.1053 0.5000 0.5143
Tl3 0.1450 0.5000 0.9862
Tl4 0.2197 0.0000 0.7030
Sb1 0.1706 0.0000 0.2867
Se1 0.0000 0.5000 0.0000
# Energy ... -2.882 eV per atom
# E_form (uncorrected) ... -1.045 eV per formula unit

---

# AcMg4Ir (PBE, optimized geometry)
data_AcMg4Ir
_symmetry_space_group_name_H-M 'P m m a'
_symmetry_Int_Tables_number 51
_cell_length_a 8.7442
_cell_length_b 4.3449
_cell_length_c 7.7629
_cell_angle_alpha 90.00
_cell_angle_beta 90.00
_cell_angle_gamma 90.00
loop_
_symmetry_equiv_pos_as_xyz
'x,y,z'
'-x,-y,-z'
'-x+1/2,-y,z'
'x+1/2,y,-z'
'x+1/2,-y,-z'
'-x+1/2,y,z'
'-x,y,-z'
'x,-y,z'
loop_
_atom_site_label
_atom_site_fract_x
_atom_site_fract_y
_atom_site_fract_z
Ac1 0.2500 0.0000 0.0884
Mg1 0.0000 0.0000 0.5000
Mg2 0.0683 0.5000 0.7876
Mg3 0.2500 0.5000 0.4668
Ir1 0.2500 0.0000 0.7035
# Energy ... -3.521 eV per atom
# Energy of formation from the pure elements ... -29 kJ/mol of atoms

---

# Re5Si (PBE, optimized geometry)
data_Re5Si
_symmetry_space_group_name_H-M 'F -4 3 m'
_symmetry_Int_Tables_number 216
_symmetry_space_group_name_Hall 'F -4 2 3'
_cell_length_a 7.2367
_cell_length_b 7.2367
_cell_length_c 7.2367
_cell_angle_alpha 90.00
_cell_angle_beta 90.00
_cell_angle_gamma 90.00
loop_
_atom_site_label
_atom_site_fract_x
_atom_site_fract_y
_atom_site_fract_z
Re1 0.0000 0.0000 0.0000
Re2 0.1241 0.1241 0.6241
Si1 0.2500 0.2500 0.2500
# Energy ... -10.567 eV per atom
# E_form (uncorrected) ... 4.259 eV per formula unit
# Offset from the most stable computed form ... 726.1 meV/atom

---

# YAlRe2I (PBE, optimized geometry)
data_YAlRe2I
_symmetry_space_group_name_H-M 'P 4/m m m'
_symmetry_Int_Tables_number 123
_symmetry_space_group_name_Hall '-P 4 2'
_cell_length_a 4.8526
_cell_length_b 4.8526
_cell_length_c 5.2454
_cell_angle_alpha 90.00
_cell_angle_beta 90.00
_cell_angle_gamma 90.00
loop_
_atom_site_label
_atom_site_fract_x
_atom_site_fract_y
_atom_site_fract_z
Y1 0.0000 0.0000 0.0000
Al1 0.5000 0.5000 0.0000
Re1 0.0000 0.5000 0.5000
I1 0.5000 0.5000 0.5000
# Energy ... -5.502 eV per atom
# E_form (uncorrected) ... 9.143 eV per formula unit

---

# CaBe2Al (PBE, optimized geometry)
data_CaBe2Al
_symmetry_space_group_name_H-M 'P 4/m m m'
_symmetry_Int_Tables_number 123
_symmetry_space_group_name_Hall '-P 4 2'
_cell_length_a 3.0960
_cell_length_b 3.0960
_cell_length_c 6.7110
_cell_angle_alpha 90.00
_cell_angle_beta 90.00
_cell_angle_gamma 90.00
loop_
_atom_site_label
_atom_site_fract_x
_atom_site_fract_y
_atom_site_fract_z
Ca1 0.0000 0.0000 0.0000
Be1 0.5000 0.5000 0.3169
Al1 0.0000 0.0000 0.5000
# Energy ... -3.021 eV per atom
# Energy of formation from the pure elements ... 27 kJ/mol of atoms

---

# YLuAg (PBE, optimized geometry)
data_YLuAg
_symmetry_space_group_name_H-M 'I 4 m m'
_symmetry_Int_Tables_number 107
_symmetry_space_group_name_Hall 'I 4 -2'
_cell_length_a 3.5631
_cell_length_b 3.5631
_cell_length_c 12.4042
_cell_angle_alpha 90.00
_cell_angle_beta 90.00
_cell_angle_gamma 90.00
loop_
_atom_site_label
_atom_site_fract_x
_atom_site_fract_y
_atom_site_fract_z
Y1 0.0000 0.0000 0.0000
Lu1 0.0000 0.0000 0.2977
Ag1 0.0000 0.0000 0.6576
# Energy ... -4.799 eV per atom
# Energy of formation from the pure elements ... -18 kJ/mol of atoms
# Offset from the most stable computed form ... 0.0 meV/atom

---

# AsC2F (PBE, optimized geometry)
data_AsC2F
_symmetry_space_group_name_H-M 'F m -3 m'
_symmetry_Int_Tables_number 225
_symmetry_space_group_name_Hall '-F 4 2 3'
_cell_length_a 5.4044
_cell_length_b 5.4044
_cell_length_c 5.4044
_cell_angle_alpha 90.00
_cell_angle_beta 90.00
_cell_angle_gamma 90.00
loop_
_atom_site_label
_atom_site_fract_x
_atom_site_fract_y
_atom_site_fract_z
As1 0.0000 0.0000 0.0000
C1 0.2500 0.2500 0.2500
F1 0.0000 0.0000 0.5000
# Energy ... -4.280 eV per atom
# E_form (uncorrected) ... 7.849 eV per formula unit
# Offset from the most stable computed form ... 185.4 meV/atom

---

# Ba5SrCa3 (PBE, optimized geometry)
data_Ba5SrCa3
_symmetry_space_group_name_H-M 'C 1 2/m 1'
_symmetry_Int_Tables_number 12
_cell_length_a 17.6836
_cell_length_b 8.8812
_cell_length_c 13.8847
_cell_angle_alpha 90.00
_cell_angle_beta 102.06
_cell_angle_gamma 90.00
loop_
_symmetry_equiv_pos_as_xyz
'x,y,z'
'-x,-y,-z'
'-x,y,-z'
'x,-y,z'
'x+1/2,y+1/2,z'
'-x+1/2,-y+1/2,-z'
'-x+1/2,y+1/2,-z'
'x+1/2,-y+1/2,z'
loop_
_atom_site_label
_atom_site_fract_x
_atom_site_fract_y
_atom_site_fract_z
Ba1 0.0000 0.1701 0.0000
Ba2 0.0867 0.2522 0.7594
Ba3 0.1048 0.0000 0.4742
Ba4 0.2302 0.5000 0.0280
Sr1 0.1466 0.5000 0.2867
Ca1 0.0000 0.5000 0.0000
Ca2 0.0000 0.5000 0.5000
Ca3 0.1585 0.0000 0.1969
Ca4 0.1993 0.5000 0.5776
# Energy ... -1.626 eV per atom
# Energy of formation from the pure elements ... 29 kJ/mol of atoms
# Offset from the most stable computed form ... 159.2 meV/atom

---

# AgPBr3 (PBE, optimized geometry)
data_AgPBr3
_symmetry_space_group_name_H-M 'P m -3 m'
_symmetry_Int_Tables_number 221
_symmetry_space_group_name_Hall '-P 4 2 3'
_cell_length_a 5.1535
_cell_length_b 5.1535
_cell_length_c 5.1535
_cell_angle_alpha 90.00
_cell_angle_beta 90.00
_cell_angle_gamma 90.00
loop_
_atom_site_label
_atom_site_fract_x
_atom_site_fract_y
_atom_site_fract_z
Ag1 0.0000 0.0000 0.0000
P1 0.5000 0.5000 0.5000
Br1 0.0000 0.5000 0.5000
# Energy ... -2.517 eV per atom
# E_form (uncorrected) ... 0.695 eV per formula unit
# Offset from the most stable computed form ... 400.8 meV/atom

---

# K3Ho2ZrTe6 (PBE, optimized geometry)
data_K3Ho2ZrTe6
_symmetry_space_group_name_H-M 'C 1 2/m 1'
_symmetry_Int_Tables_number 12
_cell_length_a 7.6027
_cell_length_b 13.1714
_cell_length_c 8.6589
_cell_angle_alpha 90.00
_cell_angle_beta 107.05
_cell_angle_gamma 90.00
loop_
_symmetry_equiv_pos_as_xyz
'x,y,z'
'-x,-y,-z'
'-x,y,-z'
'x,-y,z'
'x+1/2,y+1/2,z'
'-x+1/2,-y+1/2,-z'
'-x+1/2,y+1/2,-z'
'x+1/2,-y+1/2,z'
loop_
_atom_site_label
_atom_site_fract_x
_atom_site_fract_y
_atom_site_fract_z
K1 0.0000 0.0000 0.0000
K2 0.0000 0.3300 0.0000
Ho1 0.0000 0.1662 0.5000
Zr1 0.0000 0.5000 0.5000
Te1 0.2303 0.3382 0.7061
Te2 0.2461 0.0000 0.7073
# Energy ... -4.545 eV per atom
# E_form (uncorrected) ... -14.695 eV per formula unit